Below is an optimized crystal structure of Rb2TaAsCl6, with properties calculated at the PBE level.

```
Rb2TaAsCl6
1.0
7.2872 0.0000 0.0000
0.0000 7.2872 0.0000
3.6436 3.6436 6.0737
As Ta Cl Rb
1 1 6 2
Direct
0.5000 0.5000 0.0000
0.0000 0.0000 0.0000
0.2016 0.2016 0.5968
0.7629 0.7629 0.0000
0.2371 0.2371 0.0000
0.7984 0.7984 0.4032
0.2371 0.7629 0.0000
0.7629 0.2371 0.0000
0.2500 0.7500 0.5000
0.7500 0.2500 0.5000
```

Output
Symmetry   No. 139
Formation energy from raw total energies   -10.6 eV per formula unit
Volume   322.5 Å³ per cell